Entry 1:
The following is a PBEsol calculation of crystalline HoTe3 at its relaxed geometry, from the Alexandria database.

SG: Cmcm, No. 63
Energy relative to the elements, uncorrected (meV per atom): -928
Electronic total energy (Ry/atom): -0.3535

```
HoTe3
1.0
2.1325 -12.6889 0.0000
2.1325 12.6889 0.0000
0.0000 0.0000 4.2666
Ho Te
2 6
Cartesian
2.1325 8.3725 3.1999
2.1325 -8.3725 1.0666
2.1325 10.8230 1.0666
2.1325 5.2373 3.1999
2.1325 1.8655 1.0666
2.1325 -1.8655 3.1999
2.1325 -5.2373 1.0666
2.1325 -10.8230 3.1999
```

---

Entry 2:
The following is a PBEsol calculation of crystalline KTaRu at its relaxed geometry, from the Alexandria database.

SG: P3m1, No. 156
ΔH_f (0 K) (eV/atom): 0.7289
Electronic total energy (Ry/atom): -0.5309

```
KTaRu
1.0
3.2822 0.0000 0.0000
-1.6411 2.8425 0.0000
0.0000 0.0000 7.6726
K Ta Ru
1 1 1
Cartesian
0.0000 0.0000 0.0000
1.6411 0.9475 3.3276
0.0000 1.8950 4.8354
```